A plane-wave DFT calculation with GGA-PBE was carried out for a relaxed structure of LiNiBi. Values from VASP.

```
&SYSTEM
  ibrav = 0, nat = 6, ntyp = 3
/
ATOMIC_SPECIES
Li 6.94 Li.upf
Ni 58.69 Ni.upf
Bi 208.98 Bi.upf
CELL_PARAMETERS angstrom
2.2812 -3.9463 0.0000
2.2812 3.9463 0.0000
-0.0248 0.0000 5.8491
ATOMIC_POSITIONS angstrom
Li 0.0000 0.0000 0.0000
Li -0.0124 0.0000 2.9246
Ni 2.2626 1.3168 4.3868
Ni 2.2750 -1.3168 1.4623
Bi 2.2750 1.3161 1.4623
Bi 2.2626 -1.3161 4.3868
```

Calculated values
Volume (Å³ per cell): 105
Total moment (μB/cell): 0.0
Total DFT energy (no corrections) (eV/atom): -4.042

A plane-wave DFT calculation with GGA-PBE was carried out for a relaxed structure of LiNiBi. Values from VASP.

```
&SYSTEM
  ibrav = 0, nat = 6, ntyp = 3
/
ATOMIC_SPECIES
Li 6.94 Li.upf
Ni 58.69 Ni.upf
Bi 208.98 Bi.upf
CELL_PARAMETERS angstrom
3.7642 -2.1765 0.0000
3.7642 2.1765 0.0000
-2.5536 0.0000 7.0274
ATOMIC_POSITIONS angstrom
Li 0.0000 0.0000 0.0000
Li -0.0253 0.0000 3.3953
Ni 2.4864 0.0000 2.5016
Ni 4.9883 0.0000 4.2776
Bi 2.4785 0.0000 5.1381
Bi 4.9990 0.0000 1.6607
```

Calculated values
Volume (Å³ per cell): 115
Total moment (μB/cell): 0.0
Total DFT energy (no corrections) (eV/atom): -4.054

A plane-wave DFT calculation with GGA-PBE was carried out for a relaxed structure of Li3NiBi. Values from VASP.

```
&SYSTEM
  ibrav = 0, nat = 5, ntyp = 3
/
ATOMIC_SPECIES
Li 6.94 Li.upf
Ni 58.69 Ni.upf
Bi 208.98 Bi.upf
CELL_PARAMETERS angstrom
5.1609 0.0000 0.0000
0.0000 5.1609 0.0000
0.0000 0.0000 5.1609
ATOMIC_POSITIONS angstrom
Li 0.0000 0.0000 2.5804
Li 0.0000 2.5804 0.0000
Li 2.5804 0.0000 0.0000
Ni 2.5804 2.5804 2.5804
Bi 0.0000 0.0000 0.0000
```

Calculated values
Volume (Å³ per cell): 137
Total moment (μB/cell): 1.1
Total DFT energy (no corrections) (eV/atom): -2.579

A plane-wave DFT calculation with GGA-PBE was carried out for a relaxed structure of LiNiBi2. Values from VASP.

```
&SYSTEM
  ibrav = 0, nat = 4, ntyp = 3
/
ATOMIC_SPECIES
Li 6.94 Li.upf
Ni 58.69 Ni.upf
Bi 208.98 Bi.upf
CELL_PARAMETERS angstrom
4.1941 0.0000 0.0000
-2.0971 3.6322 0.0000
0.0000 0.0000 5.8354
ATOMIC_POSITIONS angstrom
Li 0.0000 0.0000 0.0000
Ni 0.0000 0.0000 2.9177
Bi 0.0000 2.4215 4.1335
Bi 2.0971 1.2107 1.7019
```

Calculated values
Volume (Å³ per cell): 89
Total moment (μB/cell): 0.0
Total DFT energy (no corrections) (eV/atom): -4.050

A plane-wave DFT calculation with GGA-PBE was carried out for a relaxed structure of LiNiBi. Values from VASP.

```
&SYSTEM
  ibrav = 0, nat = 3, ntyp = 3
/
ATOMIC_SPECIES
Li 6.94 Li.upf
Ni 58.69 Ni.upf
Bi 208.98 Bi.upf
CELL_PARAMETERS angstrom
-1.7641 1.7641 4.1422
1.7641 -1.7641 4.1422
1.7641 1.7641 -4.1422
ATOMIC_POSITIONS angstrom
Li 0.0000 0.0000 0.0000
Ni 0.0000 0.0000 5.5168
Bi 0.0000 0.0000 2.6590
```

Calculated values
Volume (Å³ per cell): 52
Total moment (μB/cell): 0.0
Total DFT energy (no corrections) (eV/atom): -3.941

A plane-wave DFT calculation with GGA-PBE was carried out for a relaxed structure of LiNiBi2. Values from VASP.

```
&SYSTEM
  ibrav = 0, nat = 4, ntyp = 3
/
ATOMIC_SPECIES
Li 6.94 Li.upf
Ni 58.69 Ni.upf
Bi 208.98 Bi.upf
CELL_PARAMETERS angstrom
2.0995 1.2122 6.0779
-2.0995 1.2122 6.0779
0.0000 -2.4243 6.0779
ATOMIC_POSITIONS angstrom
Li 0.0000 0.0000 0.0000
Ni 0.0000 0.0000 15.3222
Bi 0.0000 0.0000 4.3412
Bi 0.0000 0.0000 7.9821
```

Calculated values
Volume (Å³ per cell): 93
Total moment (μB/cell): 0.0
Total DFT energy (no corrections) (eV/atom): -3.991

A plane-wave DFT calculation with GGA-PBE was carried out for a relaxed structure of LiNi3Bi. Values from VASP.

```
&SYSTEM
  ibrav = 0, nat = 5, ntyp = 3
/
ATOMIC_SPECIES
Li 6.94 Li.upf
Ni 58.69 Ni.upf
Bi 208.98 Bi.upf
CELL_PARAMETERS angstrom
4.8375 0.0000 0.0000
0.0000 4.8375 0.0000
0.0000 0.0000 4.8375
ATOMIC_POSITIONS angstrom
Li 0.0000 0.0000 0.0000
Ni 0.0000 2.4187 2.4187
Ni 2.4187 0.0000 2.4187
Ni 2.4187 2.4187 0.0000
Bi 2.4187 2.4187 2.4187
```

Calculated values
Volume (Å³ per cell): 113
Total moment (μB/cell): 0.0
Total DFT energy (no corrections) (eV/atom): -3.738

A plane-wave DFT calculation with GGA-PBE was carried out for a relaxed structure of LiNi2Bi2. Values from VASP.

```
&SYSTEM
  ibrav = 0, nat = 10, ntyp = 3
/
ATOMIC_SPECIES
Li 6.94 Li.upf
Ni 58.69 Ni.upf
Bi 208.98 Bi.upf
CELL_PARAMETERS angstrom
7.3402 0.0000 0.0000
0.0000 7.3402 0.0000
0.0000 0.0000 3.5254
ATOMIC_POSITIONS angstrom
Li 0.0000 0.0000 0.0000
Li 3.6701 3.6701 0.0000
Ni 0.9057 2.7644 0.0000
Ni 2.7644 6.4345 0.0000
Ni 4.5758 0.9057 0.0000
Ni 6.4345 4.5758 0.0000
Bi 1.2679 4.9380 1.7627
Bi 2.4022 1.2679 1.7627
Bi 4.9380 6.0723 1.7627
Bi 6.0723 2.4022 1.7627
```

Calculated values
Volume (Å³ per cell): 190
Total moment (μB/cell): 0.0
Total DFT energy (no corrections) (eV/atom): -4.267

A plane-wave DFT calculation with GGA-PBE was carried out for a relaxed structure of LiNiBi. Values from VASP.

```
&SYSTEM
  ibrav = 0, nat = 6, ntyp = 3
/
ATOMIC_SPECIES
Li 6.94 Li.upf
Ni 58.69 Ni.upf
Bi 208.98 Bi.upf
CELL_PARAMETERS angstrom
4.1457 0.0000 0.0000
0.0000 4.1453 0.0000
-0.0260 0.0000 6.3448
ATOMIC_POSITIONS angstrom
Li 1.0217 1.0363 1.5194
Li 3.0981 3.1090 4.8254
Ni 1.0243 3.1090 3.1724
Ni 3.0954 1.0363 3.1724
Bi 1.0241 1.0363 4.8848
Bi 3.0956 3.1090 1.4599
```

Calculated values
Volume (Å³ per cell): 109
Total moment (μB/cell): 0.0
Total DFT energy (no corrections) (eV/atom): -4.072

A plane-wave DFT calculation with GGA-PBE was carried out for a relaxed structure of Li2NiBi2. Values from VASP.

```
&SYSTEM
  ibrav = 0, nat = 10, ntyp = 3
/
ATOMIC_SPECIES
Li 6.94 Li.upf
Ni 58.69 Ni.upf
Bi 208.98 Bi.upf
CELL_PARAMETERS angstrom
6.7874 0.0000 0.0000
0.0000 6.7874 0.0000
0.0000 0.0000 4.2290
ATOMIC_POSITIONS angstrom
Li 0.9449 2.4488 0.0000
Li 2.4488 5.8424 0.0000
Li 4.3386 0.9449 0.0000
Li 5.8424 4.3386 0.0000
Ni 0.0000 0.0000 0.0000
Ni 3.3937 3.3937 0.0000
Bi 1.1949 4.5886 2.1145
Bi 2.1988 1.1949 2.1145
Bi 4.5886 5.5925 2.1145
Bi 5.5925 2.1988 2.1145
```

Calculated values
Volume (Å³ per cell): 195
Total moment (μB/cell): 0.0
Total DFT energy (no corrections) (eV/atom): -3.474

A plane-wave DFT calculation with GGA-PBE was carried out for a relaxed structure of LiNiBi2. Values from VASP.

```
&SYSTEM
  ibrav = 0, nat = 4, ntyp = 3
/
ATOMIC_SPECIES
Li 6.94 Li.upf
Ni 58.69 Ni.upf
Bi 208.98 Bi.upf
CELL_PARAMETERS angstrom
3.4440 0.0000 0.0000
0.0000 3.4440 0.0000
0.0000 0.0000 7.2558
ATOMIC_POSITIONS angstrom
Li 0.0000 0.0000 0.0000
Ni 0.0000 0.0000 3.6279
Bi 1.7220 1.7220 1.9892
Bi 1.7220 1.7220 5.2666
```

Calculated values
Volume (Å³ per cell): 86
Total moment (μB/cell): 0.0
Total DFT energy (no corrections) (eV/atom): -3.915